# 1
{
  "formula": "SrAlSe",
  "functional": "PBE",
  "state": "optimized geometry",
  "raw_formation_energy_ev_per_atom": -0.6770,
  "dos_at_fermi_per_ev_fu": 1.44,
  "magmom_total_mub_per_fu": 0.00,
  "spacegroup": "P-6m2, No. 187",
  "cell": [[4.7544, 0.0000, 0.0000], [-2.3772, 4.1174, 0.0000], [0.0000, 0.0000, 4.1639]],
  "species": ["Sr", "Al", "Se"],
  "frac_coords": [[0.0000, 0.0000, 0.0000], [0.6667, 0.3333, 0.5000], [0.3333, 0.6667, 0.5000]]
}

# 2
{
  "formula": "Pr3Dy7Ho",
  "functional": "PBE",
  "state": "optimized geometry",
  "dos_at_fermi_per_ev_fu": 17.47,
  "magmom_total_mub_per_fu": 0.00,
  "ef_mev_per_atom": 124,
  "spacegroup": "P-1, No. 2",
  "cell": [[6.5345, 0.0000, 0.0000], [-0.6312, 6.6946, 0.0000], [-1.2583, -1.5597, 8.4115]],
  "species": ["Pr", "Pr", "Pr", "Dy", "Dy", "Dy", "Dy", "Dy", "Dy", "Dy", "Ho"],
  "frac_coords": [[0.0000, 0.0000, 0.0000], [0.1951, 0.5620, 0.1657], [0.8049, 0.4380, 0.8343], [0.0125, 0.7685, 0.5790], [0.2817, 0.2739, 0.7866], [0.4372, 0.7905, 0.8544], [0.5000, 0.5000, 0.5000], [0.5628, 0.2095, 0.1456], [0.7183, 0.7261, 0.2134], [0.9875, 0.2315, 0.4210], [0.5000, 0.0000, 0.5000]]
}

# 3
{
  "formula": "BaAsRh4",
  "functional": "PBE",
  "state": "optimized geometry",
  "dos_at_fermi_per_ev_fu": 11.12,
  "magmom_total_mub_per_fu": 0.00,
  "ef_mev_per_atom": 171,
  "spacegroup": "F-43m, No. 216",
  "cell": [[0.0000, 3.8294, 3.8294], [3.8294, 0.0000, 3.8294], [3.8294, 3.8294, 0.0000]],
  "species": ["Ba", "As", "Rh", "Rh", "Rh", "Rh"],
  "frac_coords": [[0.0000, 0.0000, 0.0000], [0.2500, 0.2500, 0.2500], [0.1301, 0.6233, 0.6233], [0.6233, 0.1301, 0.6233], [0.6233, 0.6233, 0.1301], [0.6233, 0.6233, 0.6233]]
}

# 4
{
  "formula": "DyTm4N5",
  "functional": "PBE",
  "state": "optimized geometry",
  "raw_formation_energy_ev_per_atom": -1.8005,
  "dos_at_fermi_per_ev_fu": 0.29,
  "magmom_total_mub_per_fu": 0.00,
  "spacegroup": "I4/mmm, No. 139",
  "cell": [[-1.7092, 1.7092, 12.0797], [1.7092, -1.7092, 12.0797], [1.7092, 1.7092, -12.0797]],
  "species": ["Dy", "Tm", "Tm", "Tm", "Tm", "N", "N", "N", "N", "N"],
  "frac_coords": [[0.0000, 0.0000, 0.0000], [0.2003, 0.2003, 0.0000], [0.3990, 0.3990, 0.0000], [0.6010, 0.6010, 0.0000], [0.7997, 0.7997, 0.0000], [0.1013, 0.1013, 0.0000], [0.2998, 0.2998, 0.0000], [0.5000, 0.5000, 0.0000], [0.7002, 0.7002, 0.0000], [0.8987, 0.8987, 0.0000]]
}

# 5
{
  "formula": "LiAsPd",
  "functional": "PBE",
  "state": "optimized geometry",
  "dos_at_fermi_per_ev_fu": 1.35,
  "magmom_total_mub_per_fu": 0.00,
  "ef_mev_per_atom": -543,
  "spacegroup": "P-6m2, No. 187",
  "cell": [[4.3230, 0.0000, 0.0000], [-2.1615, 3.7438, 0.0000], [0.0000, 0.0000, 2.9053]],
  "species": ["Li", "As", "Pd"],
  "frac_coords": [[0.0000, 0.0000, 0.0000], [0.6667, 0.3333, 0.5000], [0.3333, 0.6667, 0.5000]]
}

# 6
{
  "formula": "RbBi2Se2",
  "functional": "PBE",
  "state": "optimized geometry",
  "raw_formation_energy_ev_per_atom": -0.3120,
  "dos_at_fermi_per_ev_fu": 2.21,
  "magmom_total_mub_per_fu": 0.00,
  "spacegroup": "I4/mmm, No. 139",
  "cell": [[-2.3297, 2.3297, 7.4660], [2.3297, -2.3297, 7.4660], [2.3297, 2.3297, -7.4660]],
  "species": ["Rb", "Bi", "Bi", "Se", "Se"],
  "frac_coords": [[0.0000, 0.0000, 0.0000], [0.2500, 0.7500, 0.5000], [0.7500, 0.2500, 0.5000], [0.4147, 0.4147, 0.0000], [0.5853, 0.5853, 0.0000]]
}